Density functional theory data (GGA-PBE) for a geometry-optimized ErPuIrAu structure.

The formation energy comes out at -0.589 eV/atom. The density of states at the Fermi level is 2.746 states/eV per atom.

The space group is F-43m (No. 216) and the conventional cell measures 7.016, 7.016 and 7.016 Å, with angles of 90.00, 90.00 and 90.00 degrees. The distinct sites, in fractional coordinates, are Er at (0.000, 0.000, 0.000), Pu at (0.000, 0.000, 0.500), Ir at (0.250, 0.250, 0.250) and Au at (0.250, 0.250, 0.750).

=====

Density functional theory data (GGA-PBE) for a geometry-optimized ErScIrAu structure.

The formation energy comes out at -0.843 eV/atom. The density of states at the Fermi level is 0.836 states/eV per atom.

The space group is F-43m (No. 216) and the conventional cell measures 6.808, 6.808 and 6.808 Å, with angles of 90.00, 90.00 and 90.00 degrees. The distinct sites, in fractional coordinates, are Er at (0.000, 0.000, 0.000), Sc at (0.000, 0.000, 0.500), Ir at (0.250, 0.250, 0.750) and Au at (0.250, 0.250, 0.250).

=====

Density functional theory data (GGA-PBE) for a geometry-optimized SmErIrAu structure.

The formation energy comes out at -0.782 eV/atom. The density of states at the Fermi level is 0.891 states/eV per atom.

The space group is F-43m (No. 216) and the conventional cell measures 7.070, 7.070 and 7.070 Å, with angles of 90.00, 90.00 and 90.00 degrees. The distinct sites, in fractional coordinates, are Sm at (0.000, 0.000, 0.000), Er at (0.000, 0.000, 0.500), Ir at (0.250, 0.250, 0.750) and Au at (0.250, 0.250, 0.250).

=====

Density functional theory data (GGA-PBE) for a geometry-optimized ErSnIrAu structure.

The formation energy comes out at -0.520 eV/atom. The density of states at the Fermi level is 0.307 states/eV per atom.

The space group is F-43m (No. 216) and the conventional cell measures 6.825, 6.825 and 6.825 Å, with angles of 90.00, 90.00 and 90.00 degrees. The distinct sites, in fractional coordinates, are Er at (0.000, 0.000, 0.000), Sn at (0.000, 0.000, 0.500), Ir at (0.250, 0.250, 0.750) and Au at (0.250, 0.250, 0.250).

=====

Density functional theory data (GGA-PBE) for a geometry-optimized Er6Te3Ir2Au structure.

Its energy relative to the elements, uncorrected is -12.78 eV/f.u. The density of states at the Fermi level is 0.430 states/eV per atom.

The space group is C2/m (No. 12) and the conventional cell measures 7.193, 12.429 and 7.591 Å, with angles of 90.00, 108.29 and 90.00 degrees. The distinct sites, in fractional coordinates, are Er at (0.213, 0.000, 0.206), Er at (0.249, 0.322, 0.211), Te at (0.000, 0.000, 0.500), Te at (0.000, 0.340, 0.500), Ir at (0.000, 0.168, 0.000) and Au at (0.000, 0.500, 0.000).

=====

Density functional theory data (GGA-PBE) for a geometry-optimized ErThIrAu structure.

The formation energy comes out at -0.753 eV/atom. The density of states at the Fermi level is 0.735 states/eV per atom.

The space group is F-43m (No. 216) and the conventional cell measures 7.162, 7.162 and 7.162 Å, with angles of 90.00, 90.00 and 90.00 degrees. The distinct sites, in fractional coordinates, are Er at (0.000, 0.000, 0.000), Th at (0.000, 0.000, 0.500), Ir at (0.250, 0.250, 0.750) and Au at (0.250, 0.250, 0.250).

=====

Density functional theory data (GGA-PBE) for a geometry-optimized ErTmIrAu structure.

The formation energy comes out at -0.889 eV/atom. The energy above the most stable polymorph in this dataset is 0 meV/atom. The density of states at the Fermi level is 1.270 states/eV per atom.

The space group is P4mm (No. 99) and the conventional cell measures 3.478, 3.478 and 6.979 Å, with angles of 90.00, 90.00 and 90.00 degrees. The distinct sites, in fractional coordinates, are Er at (0.000, 0.000, 0.000), Tm at (0.000, 0.000, 0.466), Ir at (0.500, 0.500, 0.234) and Au at (0.500, 0.500, 0.730).

=====

Density functional theory data (GGA-PBE) for a geometry-optimized ErTmIrAu structure.

The formation energy comes out at -0.876 eV/atom. The energy above the most stable polymorph in this dataset is 13 meV/atom. The density of states at the Fermi level is 0.815 states/eV per atom.

The space group is F-43m (No. 216) and the conventional cell measures 6.947, 6.947 and 6.947 Å, with angles of 90.00, 90.00 and 90.00 degrees. The distinct sites, in fractional coordinates, are Er at (0.000, 0.000, 0.000), Tm at (0.000, 0.000, 0.500), Ir at (0.250, 0.250, 0.750) and Au at (0.250, 0.250, 0.250).

=====

Density functional theory data (GGA-PBE) for a geometry-optimized YErIrAu structure.

The formation energy comes out at -0.852 eV/atom. The energy above the most stable polymorph in this dataset is 0 meV/atom. The density of states at the Fermi level is 1.273 states/eV per atom.

The space group is P4mm (No. 99) and the conventional cell measures 3.507, 3.507 and 7.022 Å, with angles of 90.00, 90.00 and 90.00 degrees. The distinct sites, in fractional coordinates, are Y at (0.000, 0.000, 0.000), Er at (0.000, 0.000, 0.533), Ir at (0.500, 0.500, 0.761) and Au at (0.500, 0.500, 0.273).

=====

Density functional theory data (GGA-PBE) for a geometry-optimized YErIrAu structure.

The formation energy comes out at -0.838 eV/atom. The energy above the most stable polymorph in this dataset is 14 meV/atom. The density of states at the Fermi level is 0.896 states/eV per atom.

The space group is F-43m (No. 216) and the conventional cell measures 7.002, 7.002 and 7.002 Å, with angles of 90.00, 90.00 and 90.00 degrees. The distinct sites, in fractional coordinates, are Y at (0.000, 0.000, 0.000), Er at (0.000, 0.000, 0.500), Ir at (0.250, 0.250, 0.750) and Au at (0.250, 0.250, 0.250).

=====

Density functional theory data (GGA-PBE) for a geometry-optimized ErZnIrAu structure.

The formation energy comes out at -0.485 eV/atom. The density of states at the Fermi level is 0.579 states/eV per atom.

The space group is F-43m (No. 216) and the conventional cell measures 6.630, 6.630 and 6.630 Å, with angles of 90.00, 90.00 and 90.00 degrees. The distinct sites, in fractional coordinates, are Er at (0.000, 0.000, 0.000), Zn at (0.000, 0.000, 0.500), Ir at (0.250, 0.250, 0.750) and Au at (0.250, 0.250, 0.250).

=====

Density functional theory data (GGA-PBE) for a geometry-optimized ErZrIrAu structure.

The formation energy comes out at -0.706 eV/atom. The density of states at the Fermi level is 0.835 states/eV per atom.

The space group is F-43m (No. 216) and the conventional cell measures 6.848, 6.848 and 6.848 Å, with angles of 90.00, 90.00 and 90.00 degrees. The distinct sites, in fractional coordinates, are Er at (0.000, 0.000, 0.000), Zr at (0.000, 0.000, 0.500), Ir at (0.250, 0.250, 0.250) and Au at (0.250, 0.250, 0.750).

=====

Density functional theory data (GGA-PBE) for a geometry-optimized K2Er2AuO6 structure.

Its energy relative to the elements, uncorrected is -21.90 eV/f.u. The density of states at the Fermi level is 0.010 states/eV per atom.

The space group is C2/m (No. 12) and the conventional cell measures 5.795, 10.161 and 6.606 Å, with angles of 90.00, 105.17 and 90.00 degrees. The distinct sites, in fractional coordinates, are K at (0.000, 0.160, 0.000), Er at (0.000, 0.334, 0.500), Au at (0.000, 0.000, 0.500), O at (0.220, 0.170, 0.683) and O at (0.246, 0.500, 0.668).

=====

| no. | total energy (Ry per atom) |
| --- | --- |
| 1 | -0.6135 |
| 2 | -0.4852 |
| 3 | -0.4511 |
| 4 | -0.4187 |
| 5 | -0.4323 |
| 6 | -0.4985 |
| 7 | -0.4544 |
| 8 | -0.4534 |
| 9 | -0.4883 |
| 10 | -0.4872 |
| 11 | -0.3660 |
| 12 | -0.5158 |
| 13 | -0.4427 |